# 1
The following is a DFT calculation (PBE) of crystalline TbNiSnAu at its relaxed geometry.

Summary:
**Calculated formation energy**: -0.504 eV per atom
**Space group**: No. 216
**N(E_F)**: 2.48 states/eV per cell
**Total magnetic moment**: 0.00 μB/f.u.

The structure in POSCAR format:
```
TbNiSnAu
1.0
4.809 0.000 0.000
2.405 4.165 0.000
2.405 1.388 3.927
Au Sn Tb Ni
1 1 1 1
Direct
0.500 0.500 0.500
0.750 0.750 0.750
0.250 0.250 0.250
0.000 0.000 0.000
```


# 2
The following is a DFT calculation (PBE) of crystalline CoSiBi3 at its relaxed geometry.

Summary:
**Space group**: No. 221
**N(E_F)**: 5.58 states/eV per cell
**Total magnetic moment**: 0.00 μB/f.u.
**E_form (uncorrected)**: 0.646 eV per atom

The structure in POSCAR format:
```
CoSiBi3
1.0
-1.252 -2.779 4.085
-2.966 -2.947 -2.914
3.951 -3.093 -0.893
Bi Si Co
3 1 1
Direct
0.500 0.000 0.000
0.000 0.500 0.000
0.000 0.000 0.500
0.500 0.500 0.500
0.000 0.000 0.000
```


# 3
The following is a DFT calculation (PBE) of crystalline La2NpIn3Te6 at its relaxed geometry.

Summary:
**Space group**: No. 12
**N(E_F)**: 4.42 states/eV per cell
**Total magnetic moment**: 4.01 μB/f.u.
**E_form (uncorrected)**: -0.863 eV per atom

The structure in POSCAR format:
```
La2NpIn3Te6
1.0
-5.518 5.310 -2.021
-2.000 -6.353 4.286
3.983 4.471 6.046
In Te La Np
3 6 2 1
Direct
0.833 0.167 0.500
0.167 0.833 0.500
0.500 0.500 0.500
0.250 0.250 0.773
0.750 0.750 0.227
0.599 0.925 0.775
0.401 0.075 0.225
0.075 0.401 0.225
0.925 0.599 0.775
0.667 0.333 0.000
0.333 0.667 0.000
0.000 0.000 0.000
```